Density functional theory data (PBE with a Hubbard U) for an optimized crystal structure of MnSbI2O.

## Properties
Volume = 31.8 Å³/atom
Energy = -4.057 eV/atom
DOS at the Fermi energy = 0.93 states/eV/cell

```
data_MnSbI2O
_chemical_formula_sum 'Mn1 Sb1 I2 O1'
_cell_length_a 6.206
_cell_length_b 6.206
_cell_length_c 4.128
_cell_angle_alpha 90.00
_cell_angle_beta 90.00
_cell_angle_gamma 90.00
_space_group_name_H-M_alt 'P 4/m m m'
_space_group_IT_number 123
_space_group_name_Hall '-P 4 2'
loop_
_atom_site_label
_atom_site_type_symbol
_atom_site_fract_x
_atom_site_fract_y
_atom_site_fract_z
Mn1 Mn 0.000 0.000 0.000
Sb1 Sb 0.500 0.500 0.500
I1 I 0.000 0.500 0.500
O1 O 0.500 0.500 0.000
```